Record 1
DFT (PBE) results for a relaxed K2NaTl3Au4 crystal.

Structure (POSCAR):
```
K2NaTl3Au4
1.0
4.9360 0.0000 0.0000
0.0000 4.9360 0.0000
0.0000 0.0000 11.9798
Au K Tl Na
4 2 3 1
Cartesian
0.0000 0.0000 0.0000 Au
0.0000 2.4680 4.3743 Au
2.4680 0.0000 7.6055 Au
2.4680 2.4680 0.0000 Au
0.0000 2.4680 9.1745 K
2.4680 0.0000 2.8053 K
2.4680 0.0000 10.4725 Tl
0.0000 2.4680 1.5074 Tl
0.0000 0.0000 5.9899 Tl
2.4680 2.4680 5.9899 Na
```

Values from the calculation:
- Formation energy from the elements: -0.21 eV per atom
- Space group: No. 115
- Density: 8546 kg/m³



Record 2
DFT (PBE) results for a relaxed K2TbHg2Se4 crystal.

Structure (POSCAR):
```
K2TbHg2Se4
1.0
4.2084 0.0000 0.0000
0.0000 8.3522 -0.0446
-2.1042 -3.3383 7.5681
K Se Hg Tb
2 4 2 1
Cartesian
0.0000 3.9092 1.8784 K
2.1042 1.1047 5.6450 K
0.0000 0.7234 2.8370 Se
2.1042 4.2905 4.6864 Se
2.1042 6.3239 0.2629 Se
0.0000 -1.3100 7.2605 Se
0.0000 6.0930 4.6444 Hg
2.1042 -1.0791 2.8790 Hg
0.0000 0.0000 0.0000 Tb
```

Values from the calculation:
- Space group: No. 12
- Density: 5970 kg/m³
- Formation energy without anion corrections: -8.8 eV per formula unit



Record 3
DFT (PBE) results for a relaxed TlCuBr2 crystal.

Structure (POSCAR):
```
TlCuBr2
1.0
3.8035 0.0000 0.0000
0.0000 3.7998 0.0000
0.0000 0.0000 8.1811
Cu Tl Br
1 1 2
Cartesian
0.0000 0.0000 3.5941 Cu
1.9018 1.8999 7.7758 Tl
1.9018 1.8999 3.0320 Br
0.0000 0.0000 6.0507 Br
```

Values from the calculation:
- Space group: No. 99
- Density: 6007 kg/m³
- Formation energy without anion corrections: -1.5 eV per formula unit



Record 4
DFT (PBE) results for a relaxed HfCuPdI2 crystal.

Structure (POSCAR):
```
HfCuPdI2
1.0
-1.3503 4.1847 -2.9751
-4.5338 -1.4145 0.0682
-0.8260 2.8592 4.3965
I Hf Cu Pd
2 1 1 1
Cartesian
-0.6752 2.0923 -1.4876 I
-0.4130 1.4296 2.1983 I
-3.3550 2.8147 0.7448 Hf
-2.2669 -0.7073 0.0341 Cu
0.0000 0.0000 0.0000 Pd
```

Values from the calculation:
- Space group: No. 123
- Density: 7470 kg/m³
- Formation energy without anion corrections: 4.0 eV per formula unit



Record 5
DFT (PBE) results for a relaxed AcLa2Si crystal.

Structure (POSCAR):
```
AcLa2Si
1.0
4.2054 0.0000 0.0000
2.1027 3.6420 0.0000
2.1027 1.2140 9.7302
Si Ac La
1 1 2
Cartesian
4.2054 2.4280 0.0243 Si
4.2054 2.4280 4.8215 Ac
2.1027 1.2140 8.0199 La
2.1027 1.2140 1.7295 La
```

Values from the calculation:
- Space group: No. 160
- Density: 5938 kg/m³
- Formation energy without anion corrections: -0.9 eV per formula unit



Record 6
DFT (PBE) results for a relaxed RbPuTiS4 crystal.

Structure (POSCAR):
```
RbPuTiS4
1.0
6.7163 0.0000 -0.0918
0.0000 6.6991 0.0000
-2.7566 0.0000 8.7671
S Ti Rb Pu
8 2 2 2
Cartesian
5.8650 0.0406 2.5496 S
2.5528 1.6748 3.6861 S
5.8650 3.3090 2.5496 S
1.4069 5.0243 4.9891 S
-1.9053 3.3901 6.1257 S
2.4372 5.0243 1.5445 S
-1.9053 6.6585 6.1257 S
1.5225 1.6748 7.1307 S
3.3222 1.6748 5.7718 Ti
0.6375 5.0243 2.9034 Ti
1.6706 1.6748 0.5146 Rb
2.2891 5.0243 8.1606 Rb
4.0185 5.0243 3.8842 Pu
-0.0588 1.6748 4.7910 Pu
```

Values from the calculation:
- Space group: No. 11
- Density: 4275 kg/m³
- Formation energy without anion corrections: -10.0 eV per formula unit



Record 7
DFT (PBE) results for a relaxed CaNd2Sm4Y crystal.

Structure (POSCAR):
```
CaNd2Sm4Y
1.0
-5.1884 3.8270 7.2719
0.4596 -8.2041 5.1890
8.6194 5.2228 -6.7954
Sm Y Nd Ca
8 2 4 2
Cartesian
3.1280 1.5592 -0.5358 Sm
7.5367 -0.0298 -0.9729 Sm
3.2453 -2.6802 2.4180 Sm
-1.1811 -1.1396 3.3680 Sm
0.7627 -0.7136 6.2013 Sm
0.6453 3.5259 3.2474 Sm
-3.6461 0.8755 6.6384 Sm
5.0718 1.9852 2.2974 Sm
-0.6489 2.3363 6.4687 Y
0.2298 -4.1020 2.5945 Y
4.3097 2.6114 -3.3977 Nd
1.7155 4.5249 0.2382 Nd
-2.5942 1.9135 3.6360 Nd
-2.3644 -2.1886 6.2304 Nd
3.4310 9.0497 0.4764 Ca
1.9453 0.4228 2.8327 Ca
```

Values from the calculation:
- Formation energy from the elements: 0.39 eV per atom
- Space group: No. 15
- Density: 5977 kg/m³



Record 8
DFT (PBE) results for a relaxed BaNi9Sb4 crystal.

Structure (POSCAR):
```
BaNi9Sb4
1.0
7.3422 0.0000 -4.1399
-2.3343 6.9612 -4.1399
0.0398 0.0553 8.6512
Ni Sb Ba
18 8 2
Cartesian
6.4113 1.4831 0.8343 Ni
5.6522 0.4305 -3.5244 Ni
1.5585 4.9461 -4.7554 Ni
3.4494 2.0152 -3.5244 Ni
-1.1672 3.4806 -2.0700 Ni
0.8416 3.9469 -0.4629 Ni
-1.3637 5.5334 -0.4629 Ni
-0.0373 1.4654 -1.1275 Ni
5.1479 2.0528 -1.4064 Ni
3.6711 0.0000 -2.0700 Ni
5.0452 5.4958 -7.1523 Ni
-0.1002 4.9637 1.7778 Ni
4.2061 3.0696 0.8343 Ni
-0.6443 6.5307 -4.7554 Ni
4.0066 0.4663 0.4805 Ni
3.9052 3.9111 -5.2675 Ni
1.1027 3.0501 -3.0124 Ni
1.0411 6.5502 -0.1092 Ni
3.6992 6.5978 -5.0866 Sb
4.6866 1.4116 2.7975 Sb
2.5755 2.1243 -0.9467 Sb
0.3610 5.6049 -2.4261 Sb
1.3485 0.4187 5.4580 Sb
5.9136 3.1172 -3.6072 Sb
-0.8659 3.8993 3.9785 Sb
2.4722 4.8923 1.3181 Sb
3.7758 5.2486 -1.8843 Ba
1.2719 1.7679 2.2556 Ba
```

Values from the calculation:
- Space group: No. 140
- Density: 8592 kg/m³
- Formation energy without anion corrections: -3.4 eV per formula unit